The following is a DFT calculation (GGA-PBE) of a geometry-optimized BeNbAgPt structure.

```
4
Lattice="0.000 3.121 3.121 3.121 0.000 3.121 3.121 3.121 0.000" Properties=species:S:1:pos:R:3 pbc="T T T"
Be 0.000 0.000 0.000
Nb 4.681 4.681 4.681
Ag 1.560 1.560 1.560
Pt 3.121 3.121 3.121
```

Output
As for the offset from the most stable computed form: 0 meV/atom. The value obtained for the mass density is 11.1 Mg/m³. Its crystal system is cubic. For the electronic total energy, the calculation gives -5.747 eV/atom.



The following is a DFT calculation (GGA-PBE) of a geometry-optimized AcTmOs structure.

```
3
Lattice="0.000 3.477 3.477 3.477 0.000 3.477 3.477 3.477 0.000" Properties=species:S:1:pos:R:3 pbc="T T T"
Ac 0.000 0.000 0.000
Tm 1.738 1.738 1.738
Os 5.215 5.215 5.215
```

Output
As for the offset from the most stable computed form: 364 meV/atom. The value obtained for the mass density is 11.6 Mg/m³. Its crystal system is cubic. For the electronic total energy, the calculation gives -5.509 eV/atom. Its formation energy is 1093 meV/atom.



The following is a DFT calculation (GGA-PBE) of a geometry-optimized BaHfAs2 structure.

```
4
Lattice="0.000 3.608 3.608 3.608 0.000 3.608 3.608 3.608 0.000" Properties=species:S:1:pos:R:3 pbc="T T T"
Ba 0.000 0.000 0.000
Hf 1.804 1.804 1.804
As 3.608 3.608 3.608
As 5.412 5.412 5.412
```

Output
The value obtained for the mass density is 8.2 Mg/m³. Its crystal system is cubic. For the electronic total energy, the calculation gives -5.052 eV/atom.



The following is a DFT calculation (GGA-PBE) of a geometry-optimized Na2ZrSO2 structure.

```
12
Lattice="2.970 -5.387 0.000 2.970 5.387 0.000 -2.337 0.000 6.044" Properties=species:S:1:pos:R:3 pbc="T T T"
Na 0.000 0.000 0.000
Na 1.801 3.382 3.022
Na 1.801 0.000 3.022
Na 1.801 -3.382 3.022
Zr 2.970 2.028 0.000
Zr 2.970 -2.028 0.000
S -0.210 0.000 4.562
S 3.812 0.000 1.482
O 1.132 2.077 1.160
O 1.132 -2.077 1.160
O 2.471 2.077 4.884
O 2.471 -2.077 4.884
```

Output
The value obtained for the mass density is 3.5 Mg/m³. Its crystal system is monoclinic. For the electronic total energy, the calculation gives -6.318 eV/atom.



The following is a DFT calculation (GGA-PBE) of a geometry-optimized Cs2FeSnBr6 structure.

```
10
Lattice="0.000 5.592 5.592 5.592 0.000 5.592 5.592 5.592 0.000" Properties=species:S:1:pos:R:3 pbc="T T T"
Cs 2.796 2.796 2.796
Cs 8.388 8.388 8.388
Fe 0.000 0.000 0.000
Sn 5.592 5.592 5.592
Br 5.592 5.592 2.636
Br 5.592 2.636 5.592
Br 8.548 5.592 5.592
Br 2.636 5.592 5.592
Br 5.592 8.548 5.592
Br 5.592 5.592 8.548
```

Output
The value obtained for the mass density is 4.4 Mg/m³. Its crystal system is cubic. For the electronic total energy, the calculation gives -3.476 eV/atom.



The following is a DFT calculation (GGA-PBE) of a geometry-optimized Dy4PbC2Se structure.

```
8
Lattice="3.705 0.000 0.000 -1.853 3.209 0.000 0.000 0.000 14.675" Properties=species:S:1:pos:R:3 pbc="T T T"
Dy 0.000 0.000 2.001
Dy 0.000 0.000 12.675
Dy 1.853 1.070 4.667
Dy 1.853 1.070 10.008
Pb 0.000 0.000 7.338
C 0.000 2.139 3.367
C 0.000 2.139 11.308
Se 1.853 1.070 0.000
```

Output
The value obtained for the mass density is 9.1 Mg/m³. Its crystal system is hexagonal. For the electronic total energy, the calculation gives -6.320 eV/atom.



The following is a DFT calculation (GGA-PBE) of a geometry-optimized YLuAg2Pb2 structure.

```
6
Lattice="4.787 0.000 0.000 -2.393 4.146 0.000 0.000 0.000 7.424" Properties=species:S:1:pos:R:3 pbc="T T T"
Y 0.000 0.000 0.000
Lu 0.000 0.000 3.723
Ag 0.000 2.764 5.045
Ag 2.393 1.382 1.367
Pb 0.000 2.764 2.085
Pb 2.393 1.382 5.768
```

Output
The value obtained for the mass density is 10.1 Mg/m³. Its crystal system is trigonal. For the electronic total energy, the calculation gives -4.383 eV/atom.



The following is a DFT calculation (GGA-PBE) of a geometry-optimized PuTc4P2 structure.

```
14
Lattice="7.434 0.000 0.000 0.000 7.434 0.000 0.000 0.000 3.902" Properties=species:S:1:pos:R:3 pbc="T T T"
Pu 0.000 0.000 0.000
Pu 3.717 3.717 1.951
Tc 0.617 2.523 1.951
Tc 1.194 4.334 0.000
Tc 2.523 0.617 1.951
Tc 3.100 6.240 0.000
Tc 4.334 1.194 0.000
Tc 4.911 6.817 1.951
Tc 6.240 3.100 0.000
Tc 6.817 4.911 1.951
P 1.584 5.849 1.951
P 2.133 2.133 0.000
P 5.301 5.301 0.000
P 5.849 1.584 1.951
```

Output
The value obtained for the mass density is 10.8 Mg/m³. Its crystal system is tetragonal. For the electronic total energy, the calculation gives -9.846 eV/atom.



The following is a DFT calculation (GGA-PBE) of a geometry-optimized ZnGaSn2 structure.

```
4
Lattice="0.000 3.598 3.598 3.598 0.000 3.598 3.598 3.598 0.000" Properties=species:S:1:pos:R:3 pbc="T T T"
Zn 0.000 0.000 0.000
Ga 5.397 5.397 5.397
Sn 1.799 1.799 1.799
Sn 3.598 3.598 3.598
```

Output
The value obtained for the mass density is 6.6 Mg/m³. Its crystal system is cubic. For the electronic total energy, the calculation gives -2.947 eV/atom.